Material: MoS2I2
Method: DFT, PBE
State: optimized geometry

Computed properties:
As for the uncorrected formation energy: 0.73 eV per atom. Its crystal system is tetragonal. The energy above the most stable polymorph in this dataset is 0.9678 eV per atom. The value obtained for the theoretical density is 4.284 g/cm³. The calculation puts the total energy at -37.1 eV per cell.

Unit cell a=6.2292 b=6.2292 c=8.2691 alpha=90.00 beta=90.00 gamma=90.00
Space group I4/mmm (No. 139)
Inequivalent atoms, fractional coordinates:
Mo  0.0000  0.0000  0.0000 x2
S  0.0000  0.0000  0.2731 x4
I  0.0000  0.5000  0.2500 x4